Record 1
Computed, not measured: a relaxed CsPmI3 crystal at the GGA-PBE level of DFT.

Cell lengths 8.828, 8.828, 7.027 Å; angles 90.43, 90.43, 60.07 degrees
Atoms (fractional coordinates):
Cs (0.165, 0.165, 0.251)
Cs (0.835, 0.835, 0.749)
Pm (0.500, 0.500, 0.000)
Pm (0.500, 0.500, 0.500)
I (0.153, 0.674, 0.248)
I (0.326, 0.326, 0.747)
I (0.326, 0.847, 0.752)
I (0.674, 0.153, 0.248)
I (0.674, 0.674, 0.253)
I (0.847, 0.326, 0.752)

Output
- VASP energy: -3.44 eV per atom
- Uncorrected formation energy: -1.392 eV/atom
- Volume: 474.6 Å³ per cell
- Energy above the lowest structure with this stoichiometry: 0.000 eV per atom

Record 2
Computed, not measured: a relaxed Cs3Pm2I8 crystal at the GGA-PBE level of DFT.

Cell lengths 9.605, 9.794, 10.434 Å; angles 107.97, 99.60, 117.12 degrees
Atoms (fractional coordinates):
Cs (0.000, 0.000, 0.000)
Cs (0.254, 0.430, 0.632)
Cs (0.746, 0.570, 0.368)
Pm (0.471, 0.846, 0.310)
Pm (0.529, 0.154, 0.690)
I (0.174, 0.008, 0.691)
I (0.276, 0.476, 0.270)
I (0.294, 0.731, 0.990)
I (0.354, 0.095, 0.368)
I (0.646, 0.905, 0.632)
I (0.706, 0.269, 0.010)
I (0.724, 0.524, 0.730)
I (0.826, 0.992, 0.309)

Output
- VASP energy: -3.26 eV per atom
- Uncorrected formation energy: -1.376 eV/atom
- Volume: 774.3 Å³ per cell

Record 3
Computed, not measured: a relaxed Cs5Pm2I12 crystal at the GGA-PBE level of DFT.

Cell lengths 11.601, 11.601, 12.603 Å; angles 107.12, 107.12, 45.89 degrees
Atoms (fractional coordinates):
Cs (0.000, 0.000, 0.000)
Cs (0.294, 0.294, 0.144)
Cs (0.310, 0.310, 0.659)
Cs (0.690, 0.690, 0.341)
Cs (0.706, 0.706, 0.856)
Pm (0.249, 0.751, 0.500)
Pm (0.751, 0.249, 0.500)
I (0.004, 0.004, 0.675)
I (0.102, 0.596, 0.427)
I (0.133, 0.577, 0.932)
I (0.404, 0.898, 0.573)
I (0.423, 0.867, 0.068)
I (0.496, 0.496, 0.322)
I (0.504, 0.504, 0.678)
I (0.577, 0.133, 0.932)
I (0.596, 0.102, 0.427)
I (0.867, 0.423, 0.068)
I (0.898, 0.404, 0.573)
I (0.996, 0.996, 0.325)

Output
- VASP energy: -3.08 eV per atom
- Uncorrected formation energy: -1.373 eV/atom
- Volume: 1154.1 Å³ per cell

Please write out number 1 again, unchanged.
Computed, not measured: a relaxed CsPmI3 crystal at the GGA-PBE level of DFT.

Cell lengths 8.828, 8.828, 7.027 Å; angles 90.43, 90.43, 60.07 degrees
Atoms (fractional coordinates):
Cs (0.165, 0.165, 0.251)
Cs (0.835, 0.835, 0.749)
Pm (0.500, 0.500, 0.000)
Pm (0.500, 0.500, 0.500)
I (0.153, 0.674, 0.248)
I (0.326, 0.326, 0.747)
I (0.326, 0.847, 0.752)
I (0.674, 0.153, 0.248)
I (0.674, 0.674, 0.253)
I (0.847, 0.326, 0.752)

Output
- VASP energy: -3.44 eV per atom
- Uncorrected formation energy: -1.392 eV/atom
- Volume: 474.6 Å³ per cell
- Energy above the lowest structure with this stoichiometry: 0.000 eV per atom